BiWIO2 | PBE with a Hubbard U | optimized geometry

abc: 4.098 4.098 7.773
angles: 90.00 90.00 90.00
Positions (direct):
Bi 0.000 0.000 0.000
W 0.500 0.500 0.500
I 0.500 0.500 0.000
O 0.000 0.500 0.500
O 0.500 0.000 0.500

Values from the calculation:
total magnetization: 1.68 μB/cell
E_tot: -4.92 eV/atom
space-group type: No. 123